Hf2BiPIr: optimized geometry, GGA-PBE.

Calculated values
**E**: -7.04 eV/atom
**Symmetry**: P4/mmm
**ΔH_f (0 K)**: 0.57 eV/atom

Lattice parameters (Å, degrees): 5.041 5.233 5.041 90.00 90.00 90.00
Fractional positions:
P  0.500  0.500  0.500
Ir  0.000  0.000  0.000
Hf  0.000  0.000  0.500
Hf  0.500  0.000  0.000
Bi  0.000  0.500  0.000